(1)
Here is crystalline Na3Cd3ReO8 at its relaxed geometry from the Alexandria database. Energies are from PBE-GGA.

Geometry as POSCAR:
```
Na3Cd3ReO8
1.0
3.3890 1.9567 5.4371
-3.3890 1.9567 5.4371
0.0000 -3.9133 5.4371
Na Cd Re O
3 3 1 8
Direct
0.0000 0.5000 0.5000
0.5000 0.0000 0.5000
0.5000 0.5000 0.0000
0.0000 0.0000 0.5000
0.0000 0.5000 0.0000
0.5000 0.0000 0.0000
0.5000 0.5000 0.5000
0.2322 0.2322 0.2322
0.2988 0.2988 0.6980
0.2988 0.6980 0.2988
0.3020 0.7012 0.7012
0.6980 0.2988 0.2988
0.7012 0.3020 0.7012
0.7012 0.7012 0.3020
0.7678 0.7678 0.7678
```

(2)
Here is crystalline Na2CdRh2O6 at its relaxed geometry from the Alexandria database. Energies are from PBE-GGA.

Geometry as POSCAR:
```
Na2CdRh2O6
1.0
2.7170 -4.8558 0.0000
2.7170 4.8558 0.0000
-1.7987 0.0000 5.4791
Na Cd Rh O
2 1 2 6
Direct
0.1636 0.8364 0.0000
0.8364 0.1636 0.0000
0.0000 0.0000 0.5000
0.3354 0.6646 0.5000
0.6646 0.3354 0.5000
0.0545 0.4329 0.6961
0.3024 0.3024 0.3017
0.4329 0.0545 0.6961
0.5671 0.9455 0.3039
0.6976 0.6976 0.6983
0.9455 0.5671 0.3039
```

(3)
Here is crystalline Na3CdRh8O16 at its relaxed geometry from the Alexandria database. Energies are from PBE-GGA.

Geometry as POSCAR:
```
Na3CdRh8O16
1.0
9.1358 0.0000 0.0000
0.0000 3.1040 0.0000
-0.0228 0.0000 10.9490
Na Cd Rh O
3 1 8 16
Direct
0.0000 0.0000 0.0000
0.0289 0.5000 0.5013
0.5005 0.0000 0.8151
0.5266 0.5000 0.3182
0.1750 0.5000 0.7618
0.2044 0.5000 0.2736
0.3185 0.0000 0.0399
0.3518 0.0000 0.5601
0.6760 0.5000 0.0528
0.7118 0.5000 0.5424
0.8197 0.0000 0.7744
0.8541 0.0000 0.2567
0.0673 0.0000 0.3189
0.1473 0.0000 0.6379
0.1803 0.5000 0.0875
0.2261 0.0000 0.8714
0.3123 0.5000 0.4431
0.3484 0.0000 0.2262
0.3763 0.5000 0.6824
0.4581 0.5000 0.9967
0.5671 0.0000 0.4937
0.6471 0.0000 0.1812
0.6810 0.5000 0.7276
0.7281 0.0000 0.9440
0.7917 0.5000 0.3654
0.8469 0.0000 0.5899
0.8800 0.5000 0.1339
0.9589 0.5000 0.8171
```

Q: Which total magnetic moment values were calculated for the entries above? A: 0.0, 1.9, 0.3, in Bohr magnetons per cell.
Q: Which calculated total energy values were calculated for the entries above? A: -5.331, -5.371, -6.037, in eV/atom.